Entry 1:
The following is a DFT calculation (GGA-PBE) of a geometry-optimized Sr5Ga5Ir2 structure.

a b c (Å): 4.384 8.359 9.793
angles (deg): 82.34 77.06 74.80
Positions (direct):
Ga  0.934  0.315  0.817
Ga  0.294  0.746  0.666
Ga  0.000  0.000  0.000
Ga  0.706  0.254  0.334
Ga  0.066  0.685  0.183
Ir  0.605  0.549  0.242
Ir  0.395  0.451  0.758
Sr  0.693  0.689  0.926
Sr  0.376  0.926  0.323
Sr  0.000  0.500  0.500
Sr  0.307  0.311  0.074
Sr  0.624  0.074  0.677

Results
Crystal system   monoclinic
Symmetry   No. 12


Entry 2:
The following is a DFT calculation (GGA-PBE) of a geometry-optimized Sr3Ga6Ir5 structure.

a b c (Å): 4.229 10.394 12.815
angles (deg): 90.00 90.00 90.00
Positions (direct):
Ir  0.000  0.517  0.888
Ir  0.500  0.483  0.388
Ir  0.000  0.857  0.329
Ir  0.500  0.483  0.612
Ir  0.000  0.857  0.671
Ir  0.500  0.121  0.500
Ir  0.500  0.143  0.171
Ir  0.500  0.143  0.829
Ir  0.000  0.879  0.000
Ir  0.000  0.517  0.112
Ga  0.500  0.516  0.000
Ga  0.500  0.996  0.668
Ga  0.000  0.004  0.832
Ga  0.000  0.598  0.305
Ga  0.000  0.989  0.500
Ga  0.000  0.598  0.695
Ga  0.500  0.402  0.805
Ga  0.500  0.011  0.000
Ga  0.500  0.996  0.332
Ga  0.000  0.004  0.168
Ga  0.000  0.484  0.500
Ga  0.500  0.402  0.195
Sr  0.000  0.252  0.338
Sr  0.500  0.748  0.838
Sr  0.500  0.748  0.162
Sr  0.000  0.252  0.000
Sr  0.000  0.252  0.662
Sr  0.500  0.748  0.500

Results
Crystal system   orthorhombic
Symmetry   No. 59


Number 1: energy relative to the elements -402.7 meV/atom. Number 2: energy relative to the elements -441.5 meV/atom.